Record 1
Here is a relaxed K4UO5 crystal from Alexandria. Energies are from PBE-GGA.

Fermi-level density of states: 0.000 states/eV per atom
Crystal system: triclinic

Structure (POSCAR):
```
K4UO5
1.0
6.556 -0.001 0.001
-1.385 6.405 0.001
-3.171 -2.713 8.902
K O U
8 10 2
Direct
0.417 0.203 0.902 K
0.795 0.405 0.300 K
0.000 0.500 0.000 K
0.599 0.296 0.597 K
0.000 0.000 0.500 K
0.583 0.797 0.098 K
0.205 0.595 0.700 K
0.401 0.704 0.403 K
0.500 0.940 0.694 O
0.029 0.830 0.236 O
0.857 0.105 0.035 O
0.971 0.170 0.764 O
0.143 0.895 0.965 O
0.644 0.629 0.842 O
0.356 0.371 0.158 O
0.500 0.060 0.306 O
0.824 0.705 0.612 O
0.176 0.295 0.388 O
0.811 0.900 0.805 U
0.189 0.100 0.195 U
```

Record 2
Here is a relaxed K2U2O7 crystal from Alexandria. Energies are from PBE-GGA.

Fermi-level density of states: 0.000 states/eV per atom
Energy above the most stable polymorph in this dataset: 0.000 eV/f.u.
Crystal system: monoclinic

Structure (POSCAR):
```
K2U2O7
1.0
-5.757 -4.502 3.412
2.981 0.926 6.253
-2.760 5.868 3.087
O K U
14 4 4
Direct
0.759 0.381 0.282 O
0.384 0.251 0.000 O
0.004 0.118 0.718 O
0.243 0.858 0.990 O
0.021 0.356 0.990 O
0.749 0.566 0.726 O
0.504 0.882 0.282 O
0.743 0.142 0.010 O
0.521 0.644 0.010 O
0.515 0.067 0.726 O
0.259 0.619 0.718 O
0.884 0.749 0.000 O
0.015 0.933 0.274 O
0.249 0.434 0.274 O
0.003 0.517 0.493 K
0.261 0.018 0.493 K
0.503 0.483 0.507 K
0.761 0.982 0.507 K
0.003 0.026 0.996 U
0.261 0.527 0.996 U
0.503 0.974 0.004 U
0.761 0.473 0.004 U
```

Record 3
Here is a relaxed K3U2O8 crystal from Alexandria. Energies are from PBE-GGA.

Fermi-level density of states: 0.467 states/eV per atom
Crystal system: trigonal

Structure (POSCAR):
```
K3U2O8
1.0
6.329 0.000 0.000
3.164 5.481 0.000
3.164 1.827 7.597
O U K
8 2 3
Direct
0.754 0.274 0.699 O
0.274 0.754 0.699 O
0.274 0.274 0.699 O
0.310 0.310 0.070 O
0.690 0.690 0.930 O
0.726 0.246 0.301 O
0.726 0.726 0.301 O
0.246 0.726 0.301 O
0.396 0.396 0.811 U
0.604 0.604 0.189 U
0.000 0.000 0.000 K
0.188 0.188 0.435 K
0.812 0.812 0.565 K
```

Record 4
Here is a relaxed K3UO4 crystal from Alexandria. Energies are from PBE-GGA.

Fermi-level density of states: 0.582 states/eV per atom
Crystal system: orthorhombic

Structure (POSCAR):
```
K3UO4
1.0
-0.620 2.513 -4.447
-2.366 -6.547 -3.370
-8.387 1.882 2.233
K O U
6 8 2
Direct
0.558 0.334 0.264 K
0.057 0.184 0.500 K
0.058 0.666 0.764 K
0.558 0.334 0.736 K
0.557 0.816 0.000 K
0.058 0.666 0.236 K
0.629 0.158 0.000 O
0.060 0.313 0.188 O
0.557 0.101 0.500 O
0.560 0.687 0.688 O
0.560 0.687 0.312 O
0.060 0.313 0.812 O
0.129 0.842 0.500 O
0.057 0.899 0.000 O
0.036 0.164 0.000 U
0.536 0.836 0.500 U
```

Record 5
Here is a relaxed K2U2O7 crystal from Alexandria. Energies are from PBE-GGA.

Energy above the most stable polymorph in this dataset: 0.675 eV/f.u.
Crystal system: monoclinic

Structure (POSCAR):
```
K2U2O7
1.0
4.050 0.000 0.000
0.000 6.989 -0.001
0.000 2.323 6.774
O U K
7 2 2
Direct
0.500 0.404 0.271 O
0.500 0.584 0.708 O
0.000 0.915 0.272 O
0.000 0.385 0.982 O
0.500 0.802 0.983 O
0.500 0.156 0.008 O
0.000 0.104 0.721 O
0.500 0.487 0.990 U
0.000 0.020 0.996 U
0.500 0.997 0.506 K
0.000 0.502 0.492 K
```

Record 6
Here is a relaxed K5UO5 crystal from Alexandria. Energies are from PBE-GGA.

Fermi-level density of states: 0.446 states/eV per atom
Crystal system: monoclinic

Structure (POSCAR):
```
K5UO5
1.0
-4.245 0.828 3.028
-1.250 -3.765 -5.326
2.880 -4.522 5.274
K O U
5 5 1
Direct
0.006 0.000 0.500 K
0.678 0.345 0.848 K
0.333 0.655 0.152 K
0.320 0.632 0.688 K
0.688 0.368 0.312 K
0.135 0.262 0.261 O
0.129 0.249 0.866 O
0.880 0.751 0.134 O
0.435 0.000 0.000 O
0.873 0.738 0.739 O
0.024 0.000 0.000 U
```

Record 7
Here is a relaxed KUO2 crystal from Alexandria. Energies are from PBE-GGA.

Fermi-level density of states: 1.067 states/eV per atom
Crystal system: tetragonal

Structure (POSCAR):
```
KUO2
1.0
3.033 0.000 0.000
0.000 3.033 0.000
0.000 0.000 6.600
O U K
2 1 1
Direct
0.000 0.000 0.201 O
0.000 0.000 0.799 O
0.500 0.500 0.000 U
0.500 0.500 0.500 K
```

Record 8
Here is a relaxed K2U2O7 crystal from Alexandria. Energies are from PBE-GGA.

Fermi-level density of states: 0.000 states/eV per atom
Energy above the most stable polymorph in this dataset: 0.045 eV/f.u.
Crystal system: triclinic

Structure (POSCAR):
```
K2U2O7
1.0
6.065 -1.111 -3.200
-0.208 -5.844 4.190
-3.899 -1.944 -6.743
U K O
4 4 14
Direct
0.968 0.005 0.752 U
0.500 0.000 0.500 U
0.500 0.000 0.000 U
0.032 0.995 0.248 U
0.756 0.510 0.374 K
0.740 0.511 0.882 K
0.244 0.490 0.626 K
0.260 0.489 0.118 K
0.189 0.013 0.554 O
0.929 0.730 0.684 O
0.553 0.279 0.561 O
0.012 0.280 0.820 O
0.988 0.720 0.180 O
0.190 0.015 0.954 O
0.071 0.270 0.316 O
0.556 0.279 0.078 O
0.444 0.721 0.922 O
0.631 0.012 0.753 O
0.447 0.721 0.439 O
0.369 0.988 0.247 O
0.810 0.985 0.046 O
0.811 0.987 0.446 O
```

| no. | raw formation energy (eV per atom) |
| --- | --- |
| 1 | -2.29 |
| 2 | -2.88 |
| 3 | -2.18 |
| 4 | -2.18 |
| 5 | -2.82 |
| 6 | -2.01 |
| 7 | -1.91 |
| 8 | -2.88 |